No. 1
La6SnSe5: optimized geometry, PBE.

Formation energy from raw total energies in meV/atom: -1800.8

Cell: 7.5912 7.5797 7.5781 Å, 59.99 80.42 70.57°
Positions (direct):
Se  0.5000  0.1634  0.6732
La  0.7448  0.4245  0.6605
La  0.7448  0.0850  0.3395
Se  0.0000  0.6675  0.6650
La  0.2552  0.9150  0.6605
La  0.2529  0.2558  0.0000
Se  0.5000  0.5000  0.0000
La  0.2552  0.5755  0.3395
Sn  0.0000  0.0000  0.0000
Se  0.5000  0.8366  0.3268
La  0.7471  0.7442  0.0000
Se  0.0000  0.3325  0.3350

No. 2
KBaMn2Sb: optimized geometry, PBE.

Formation energy from raw total energies in meV/atom: 560.2

Cell: 5.3163 6.6248 5.3163 Å, 90.00 90.00 90.00°
Positions (direct):
Ba  0.0000  0.5000  0.0000
Mn  0.5000  0.0000  0.0000
K  0.5000  0.5000  0.5000
Mn  0.0000  0.0000  0.5000
Sb  0.0000  0.0000  0.0000

No. 3
BeZnOs2: optimized geometry, PBE.

E_form in eV/atom: 0.29

Cell: 4.9356 4.8166 2.6671 Å, 85.53 76.57 117.83°
Positions (direct):
Be  0.5000  0.0000  0.5000
Os  0.0000  0.0000  0.0000
Zn  0.5000  0.5000  0.0000
Os  0.0000  0.5000  0.5000

No. 4
Sr2AcAg2Sn2: optimized geometry, PBE.

E_form in eV/atom: -0.47

Cell: 4.9638 4.9638 10.8181 Å, 76.74 76.74 60.00°
Positions (direct):
Sn  0.7371  0.7371  0.7888
Sr  0.1254  0.1254  0.6238
Ac  0.0000  0.0000  0.0000
Ag  0.3986  0.3986  0.8041
Sr  0.8746  0.8746  0.3762
Ag  0.6014  0.6014  0.1959
Sn  0.2629  0.2629  0.2112

No. 5
Rb3BrClF: optimized geometry, PBE.

Formation energy from raw total energies in meV/atom: -2097.7

Cell: 4.6323 7.9849 11.5722 Å, 102.32 90.00 90.00°
Positions (direct):
Br  0.2500  0.3495  0.3233
Cl  0.7500  0.2375  0.9473
Rb  0.7500  0.2063  0.5254
Br  0.7500  0.6505  0.6767
Rb  0.2500  0.4331  0.8186
Cl  0.2500  0.7625  0.0527
Rb  0.7500  0.5669  0.1814
F  0.7500  0.8742  0.3622
Rb  0.2500  0.9587  0.8242
Rb  0.7500  0.0413  0.1758
Rb  0.2500  0.7937  0.4746
F  0.2500  0.1258  0.6378

No. 6
SnBi3C: optimized geometry, PBE.

E_form in eV/atom: 2.04
Polymorph energy (0 for the lowest one) in eV per atom: 1.179

Cell: 5.8274 5.8274 5.8274 Å, 90.00 90.00 90.00°
Positions (direct):
C  0.5000  0.5000  0.5000
Bi  0.5000  0.0000  0.0000
Sn  0.0000  0.0000  0.0000
Bi  0.0000  0.5000  0.0000
Bi  0.0000  0.0000  0.5000

No. 7
KSi2Br: optimized geometry, PBE.

Polymorph energy (0 for the lowest one) in eV per atom: 0.392
Formation energy from raw total energies in meV/atom: -3.6

Cell: 8.2387 4.8172 3.9428 Å, 89.87 90.00 90.00°
Positions (direct):
K  0.5000  0.7500  0.7500
Br  0.5000  0.2500  0.2500
Si  0.0000  0.3664  0.4998
Si  0.0000  0.1336  0.0002

No. 8
CuBiSbTe2: optimized geometry, PBE.

Polymorph energy (0 for the lowest one) in eV per atom: 0.000
Formation energy from raw total energies in meV/atom: 307.2

Cell: 5.2124 5.2124 5.0927 Å, 90.00 90.00 90.00°
Positions (direct):
Te  0.0000  0.5000  0.0000
Sb  0.0000  0.0000  0.5000
Bi  0.5000  0.5000  0.5000
Te  0.5000  0.0000  0.0000
Cu  0.0000  0.0000  0.0000

Number 1: N(E_F) 0.547 states/eV/atom. Number 2: N(E_F) 1.520 states/eV/atom. Number 3: N(E_F) 0.781 states/eV/atom. Number 4: N(E_F) 0.436 states/eV/atom. Number 5: N(E_F) 0.000 states/eV/atom. Number 6: N(E_F) 1.469 states/eV/atom. Number 7: N(E_F) 0.286 states/eV/atom. Number 8: N(E_F) 0.669 states/eV/atom.